DFT (PBE-GGA) results for a relaxed structure of TaTlF6.

Calculated values
formation energy (no corrections) = -2996 meV per atom
energy above the most stable polymorph in this dataset = 0.10 eV/f.u.
spin magnetization = 0.00 μB/f.u.

CIF file:
```
data_TaTlF6
_chemical_formula_sum 'Ta2 Tl2 F12'
_space_group_name_H-M_alt 'C 1 2/m 1'
_space_group_IT_number 12
_cell_length_a 7.0177
_cell_length_b 7.9109
_cell_length_c 5.3212
_cell_angle_alpha 90.00
_cell_angle_beta 99.98
_cell_angle_gamma 90.00
loop_
_space_group_symop_operation_xyz
'x,y,z'
'-x,-y,-z'
'-x,y,-z'
'x,-y,z'
'x+1/2,y+1/2,z'
'-x+1/2,-y+1/2,-z'
'-x+1/2,y+1/2,-z'
'x+1/2,-y+1/2,z'
loop_
_atom_site_label
_atom_site_type_symbol
_atom_site_fract_x
_atom_site_fract_y
_atom_site_fract_z
_atom_site_occupancy
Ta1 Ta 0.0000 0.0000 0.0000 1
Tl1 Tl 0.0000 0.5000 0.5000 1
F1 F 0.0836 0.1707 0.2540 1
F2 F 0.2438 0.5000 0.0850 1
```